The following is a DFT calculation (PBE) of an optimized crystal structure of P2O.

a b c (Å): 2.4421 2.6033 7.2457
angles (deg): 86.16 80.86 90.00
With the nearest neighbours (Å) after each atom.
Element x y z (fractional)
1 P 0.5616 0.1375 0.2855  6 P 2.44-2.66
2 O 0.7845 0.2277 0.8124  2 P 1.68
3 P 0.7145 0.7002 0.9609  2 O 1.68

Computed properties:
As for the crystal system: triclinic. The space group is P1 (1). As for the formation energy (no corrections): -0.385 eV per atom. The value obtained for the energy above the most stable polymorph in this dataset is 262 meV/atom.